The following is a PBE calculation of a geometry-optimized CaAl2Au structure, from Alexandria.

**Formation energy from the elements**: -0.332 eV/atom
**Electronic total energy**: -14.09 eV per cell
**Calculated density**: 5.6 Mg/m³

Lattice parameters (Å, degrees): 3.459 4.234 6.126 90.00 106.28 90.00
Space group Pm (No. 6)
Unique sites:
Ca1 0.000 0.000 0.000 (multiplicity 1)
Al1 0.259 0.000 0.514 (multiplicity 1)
Al2 0.680 0.500 0.357 (multiplicity 1)
Au1 0.384 0.500 0.764 (multiplicity 1)